Arrangement a

Computed, not measured: crystalline BaNbSn at its relaxed geometry at the GGA-PBE level of DFT.

Results
The space group is Cm (8).

Cell: 16.972 4.597 5.393 Å, 90.00 104.09 90.00°
Positions (direct):
Ba 0.000 0.000 0.000
Ba 0.168 0.500 0.637
Ba 0.500 0.500 0.000
Ba 0.668 0.000 0.637
Nb 0.345 0.500 0.379
Nb 0.402 0.000 0.359
Nb 0.845 0.000 0.379
Nb 0.902 0.500 0.359
Sn 0.225 0.000 0.155
Sn 0.341 0.000 0.805
Sn 0.725 0.500 0.155
Sn 0.841 0.500 0.805

=====

Arrangement b

Computed, not measured: crystalline BaNbSn at its relaxed geometry at the GGA-PBE level of DFT.

Results
The space group is Cm (8).

Cell: 12.774 4.600 8.518 Å, 90.00 128.54 90.00°
Positions (direct):
Ba 0.000 0.000 0.000
Ba 0.138 0.000 0.699
Ba 0.500 0.500 0.000
Ba 0.638 0.500 0.699
Nb 0.242 0.500 0.451
Nb 0.332 0.000 0.477
Nb 0.742 0.000 0.451
Nb 0.832 0.500 0.477
Sn 0.276 0.500 0.152
Sn 0.467 0.000 0.290
Sn 0.776 0.000 0.152
Sn 0.967 0.500 0.290

=====

If we sort the structures by their calculated energies, the order from most to least stable is arrangement b, arrangement a.

=====

Arrangement a

Computed, not measured: crystalline BaNb2Sn2 at its relaxed geometry at the GGA-PBE level of DFT.

Results
The space group is P4/mbm (127).

Cell: 8.848 8.848 3.101 Å, 90.00 90.00 90.00°
Positions (direct):
Ba 0.000 0.000 0.000
Ba 0.500 0.500 0.000
Nb 0.108 0.392 0.000
Nb 0.392 0.892 0.000
Nb 0.608 0.108 0.000
Nb 0.892 0.608 0.000
Sn 0.178 0.678 0.500
Sn 0.322 0.178 0.500
Sn 0.678 0.822 0.500
Sn 0.822 0.322 0.500

=====

Arrangement b

Computed, not measured: crystalline BaNb2Sn2 at its relaxed geometry at the GGA-PBE level of DFT.

Results
The space group is I4/mmm (139).

Cell: 5.517 5.517 8.998 Å, 90.00 90.00 90.00°
Positions (direct):
Ba 0.000 0.000 0.000
Ba 0.500 0.500 0.500
Nb 0.000 0.000 0.364
Nb 0.000 0.000 0.636
Nb 0.500 0.500 0.136
Nb 0.500 0.500 0.864
Sn 0.000 0.500 0.250
Sn 0.000 0.500 0.750
Sn 0.500 0.000 0.250
Sn 0.500 0.000 0.750

=====

If we sort the structures by their calculated energies, the order from most to least stable is arrangement a, arrangement b.

=====

Arrangement a

Computed, not measured: crystalline Ba2SrNb at its relaxed geometry at the GGA-PBE level of DFT.

Results
The space group is I-42d (122).

Cell: 9.923 9.923 7.329 Å, 90.00 90.00 90.00°
Positions (direct):
Ba 0.203 0.250 0.125
Ba 0.250 0.703 0.375
Ba 0.250 0.797 0.875
Ba 0.297 0.250 0.625
Ba 0.703 0.750 0.625
Ba 0.750 0.203 0.875
Ba 0.750 0.297 0.375
Ba 0.797 0.750 0.125
Sr 0.000 0.000 0.500
Sr 0.000 0.500 0.750
Sr 0.500 0.000 0.250
Sr 0.500 0.500 0.000
Nb 0.000 0.000 0.000
Nb 0.000 0.500 0.250
Nb 0.500 0.000 0.750
Nb 0.500 0.500 0.500

=====

Arrangement b

Computed, not measured: crystalline Ba2SrNb at its relaxed geometry at the GGA-PBE level of DFT.

Results
The space group is Fm-3m (225).

Cell: 8.798 8.798 8.798 Å, 90.00 90.00 90.00°
Positions (direct):
Ba 0.250 0.250 0.250
Ba 0.250 0.250 0.750
Ba 0.250 0.750 0.250
Ba 0.250 0.750 0.750
Ba 0.750 0.250 0.250
Ba 0.750 0.250 0.750
Ba 0.750 0.750 0.250
Ba 0.750 0.750 0.750
Sr 0.000 0.000 0.000
Sr 0.000 0.500 0.500
Sr 0.500 0.000 0.500
Sr 0.500 0.500 0.000
Nb 0.000 0.000 0.500
Nb 0.000 0.500 0.000
Nb 0.500 0.000 0.000
Nb 0.500 0.500 0.500

=====

If we sort the structures by their calculated energies, the order from most to least stable is arrangement b, arrangement a.

=====

Arrangement a

Computed, not measured: crystalline Ba3SrNb at its relaxed geometry at the GGA-PBE level of DFT.

Results
The space group is Pm-3m (221).

Cell: 6.304 6.304 6.304 Å, 90.00 90.00 90.00°
Positions (direct):
Ba 0.000 0.000 0.500
Ba 0.000 0.500 0.000
Ba 0.500 0.000 0.000
Sr 0.500 0.500 0.500
Nb 0.000 0.000 0.000

=====

Arrangement b

Computed, not measured: crystalline Ba3SrNb at its relaxed geometry at the GGA-PBE level of DFT.

Results
The space group is Pm-3m (221).

Cell: 6.375 6.375 6.375 Å, 90.00 90.00 90.00°
Positions (direct):
Ba 0.000 0.000 0.500
Ba 0.000 0.500 0.000
Ba 0.500 0.000 0.000
Sr 0.000 0.000 0.000
Nb 0.500 0.500 0.500

=====

If we sort the structures by their calculated energies, the order from most to least stable is arrangement a, arrangement b.

=====

Arrangement a

Computed, not measured: crystalline BaTa2Nb at its relaxed geometry at the GGA-PBE level of DFT.

Results
The space group is Fm-3m (225).

Cell: 7.041 7.041 7.041 Å, 90.00 90.00 90.00°
Positions (direct):
Ba 0.000 0.000 0.000
Ba 0.000 0.500 0.500
Ba 0.500 0.000 0.500
Ba 0.500 0.500 0.000
Ta 0.250 0.250 0.250
Ta 0.250 0.250 0.750
Ta 0.250 0.750 0.250
Ta 0.250 0.750 0.750
Ta 0.750 0.250 0.250
Ta 0.750 0.250 0.750
Ta 0.750 0.750 0.250
Ta 0.750 0.750 0.750
Nb 0.000 0.000 0.500
Nb 0.000 0.500 0.000
Nb 0.500 0.000 0.000
Nb 0.500 0.500 0.500

=====

Arrangement b

Computed, not measured: crystalline BaTa2Nb at its relaxed geometry at the GGA-PBE level of DFT.

Results
The space group is I-42d (122).

Cell: 5.284 5.284 18.424 Å, 90.00 90.00 90.00°
Positions (direct):
Ba 0.000 0.000 0.000
Ba 0.000 0.500 0.250
Ba 0.500 0.000 0.750
Ba 0.500 0.500 0.500
Ta 0.019 0.750 0.625
Ta 0.250 0.019 0.375
Ta 0.250 0.481 0.875
Ta 0.481 0.750 0.125
Ta 0.519 0.250 0.125
Ta 0.750 0.519 0.875
Ta 0.750 0.981 0.375
Ta 0.981 0.250 0.625
Nb 0.000 0.000 0.500
Nb 0.000 0.500 0.750
Nb 0.500 0.000 0.250
Nb 0.500 0.500 0.000

=====

If we sort the structures by their calculated energies, the order from most to least stable is arrangement a, arrangement b.

=====

Arrangement a

Computed, not measured: crystalline BaTaNb2 at its relaxed geometry at the GGA-PBE level of DFT.

Results
The space group is I-42d (122).

Cell: 5.125 5.125 18.864 Å, 90.00 90.00 90.00°
Positions (direct):
Ba 0.000 0.000 0.000
Ba 0.000 0.500 0.250
Ba 0.500 0.000 0.750
Ba 0.500 0.500 0.500
Ta 0.000 0.000 0.500
Ta 0.000 0.500 0.750
Ta 0.500 0.000 0.250
Ta 0.500 0.500 0.000
Nb 0.046 0.750 0.625
Nb 0.250 0.046 0.375
Nb 0.250 0.454 0.875
Nb 0.454 0.750 0.125
Nb 0.546 0.250 0.125
Nb 0.750 0.546 0.875
Nb 0.750 0.954 0.375
Nb 0.954 0.250 0.625

=====

Arrangement b

Computed, not measured: crystalline BaTaNb2 at its relaxed geometry at the GGA-PBE level of DFT.

Results
The space group is Fm-3m (225).

Cell: 7.050 7.050 7.050 Å, 90.00 90.00 90.00°
Positions (direct):
Ba 0.000 0.000 0.000
Ba 0.000 0.500 0.500
Ba 0.500 0.000 0.500
Ba 0.500 0.500 0.000
Ta 0.000 0.000 0.500
Ta 0.000 0.500 0.000
Ta 0.500 0.000 0.000
Ta 0.500 0.500 0.500
Nb 0.250 0.250 0.250
Nb 0.250 0.250 0.750
Nb 0.250 0.750 0.250
Nb 0.250 0.750 0.750
Nb 0.750 0.250 0.250
Nb 0.750 0.250 0.750
Nb 0.750 0.750 0.250
Nb 0.750 0.750 0.750

=====

If we sort the structures by their calculated energies, the order from most to least stable is arrangement b, arrangement a.

=====

Arrangement a

Computed, not measured: crystalline BaTa3Nb at its relaxed geometry at the GGA-PBE level of DFT.

Results
The space group is Pm-3m (221).

Cell: 5.002 5.002 5.002 Å, 90.00 90.00 90.00°
Positions (direct):
Ba 0.000 0.000 0.000
Ta 0.000 0.000 0.500
Ta 0.000 0.500 0.000
Ta 0.500 0.000 0.000
Nb 0.500 0.500 0.500

=====

Arrangement b

Computed, not measured: crystalline BaTa3Nb at its relaxed geometry at the GGA-PBE level of DFT.

Results
The space group is Pm-3m (221).

Cell: 5.089 5.089 5.089 Å, 90.00 90.00 90.00°
Positions (direct):
Ba 0.000 0.000 0.000
Ta 0.000 0.500 0.500
Ta 0.500 0.000 0.500
Ta 0.500 0.500 0.000
Nb 0.500 0.500 0.500

=====

If we sort the structures by their calculated energies, the order from most to least stable is arrangement b, arrangement a.

=====

Arrangement a

Computed, not measured: crystalline Ba2TaNb at its relaxed geometry at the GGA-PBE level of DFT.

Results
The space group is I-42d (122).

Cell: 9.153 9.153 6.169 Å, 90.00 90.00 90.00°
Positions (direct):
Ba 0.244 0.250 0.125
Ba 0.250 0.744 0.375
Ba 0.250 0.756 0.875
Ba 0.256 0.250 0.625
Ba 0.744 0.750 0.625
Ba 0.750 0.244 0.875
Ba 0.750 0.256 0.375
Ba 0.756 0.750 0.125
Ta 0.000 0.000 0.500
Ta 0.000 0.500 0.750
Ta 0.500 0.000 0.250
Ta 0.500 0.500 0.000
Nb 0.000 0.000 0.000
Nb 0.000 0.500 0.250
Nb 0.500 0.000 0.750
Nb 0.500 0.500 0.500

=====

Arrangement b

Computed, not measured: crystalline Ba2TaNb at its relaxed geometry at the GGA-PBE level of DFT.

Results
The space group is Fm-3m (225).

Cell: 7.692 7.692 7.692 Å, 90.00 90.00 90.00°
Positions (direct):
Ba 0.250 0.250 0.250
Ba 0.250 0.250 0.750
Ba 0.250 0.750 0.250
Ba 0.250 0.750 0.750
Ba 0.750 0.250 0.250
Ba 0.750 0.250 0.750
Ba 0.750 0.750 0.250
Ba 0.750 0.750 0.750
Ta 0.000 0.000 0.000
Ta 0.000 0.500 0.500
Ta 0.500 0.000 0.500
Ta 0.500 0.500 0.000
Nb 0.000 0.000 0.500
Nb 0.000 0.500 0.000
Nb 0.500 0.000 0.000
Nb 0.500 0.500 0.500

=====

If we sort the structures by their calculated energies, the order from most to least stable is arrangement b, arrangement a.